Entry 1:
Entry from OQMD via LeMat-Bulk: an optimized crystal structure of ZnH36C60N12 (PBE-GGA).

Cell lengths 9.7666, 10.0333, 10.3798 Å; angles 78.02, 80.04, 79.18 degrees
Positions (direct):
Zn (0.0000, 0.0000, 0.0000)
H (0.0137, 0.0032, 0.7302)
H (0.0245, 0.7271, 0.9737)
H (0.0566, 0.4081, 0.1690)
H (0.0664, 0.1481, 0.7404)
H (0.0683, 0.1958, 0.3326)
H (0.0871, 0.0632, 0.4524)
H (0.1222, 0.4657, 0.0154)
H (0.1217, 0.7272, 0.0907)
H (0.1770, 0.0031, 0.7562)
H (0.1847, 0.7695, 0.9340)
H (0.1889, 0.0303, 0.1437)
H (0.1938, 0.1518, 0.0105)
H (0.2150, 0.3444, 0.1081)
H (0.2183, 0.0920, 0.3378)
H (0.2844, 0.9941, 0.9998)
H (0.4567, 0.0582, 0.0744)
H (0.4582, 0.9259, 0.8081)
H (0.4775, 0.8004, 0.9368)
H (0.5225, 0.1996, 0.0632)
H (0.5418, 0.0741, 0.1919)
H (0.5433, 0.9418, 0.9256)
H (0.7156, 0.0059, 0.0002)
H (0.7817, 0.9080, 0.6622)
H (0.7850, 0.6556, 0.8919)
H (0.8062, 0.8482, 0.9895)
H (0.8111, 0.9697, 0.8563)
H (0.8153, 0.2305, 0.0660)
H (0.8230, 0.9969, 0.2438)
H (0.8783, 0.2728, 0.9093)
H (0.8778, 0.5343, 0.9846)
H (0.9129, 0.9368, 0.5476)
H (0.9317, 0.8042, 0.6674)
H (0.9336, 0.8519, 0.2596)
H (0.9434, 0.5919, 0.8310)
H (0.9755, 0.2729, 0.0263)
H (0.9863, 0.9968, 0.2698)
C (0.1294, 0.5404, 0.5859)
C (0.1424, 0.6087, 0.4531)
C (0.1684, 0.3917, 0.6175)
C (0.1702, 0.5990, 0.6865)
C (0.1947, 0.5312, 0.3471)
C (0.1965, 0.7381, 0.4170)
C (0.2197, 0.3168, 0.5145)
C (0.2230, 0.7246, 0.6517)
C (0.2328, 0.3586, 0.7378)
C (0.2328, 0.3871, 0.3777)
C (0.2349, 0.4866, 0.7799)
C (0.2363, 0.7950, 0.5149)
C (0.2814, 0.6123, 0.2452)
C (0.2826, 0.7404, 0.2884)
C (0.3375, 0.2057, 0.5287)
C (0.3419, 0.7417, 0.7091)
C (0.3477, 0.2507, 0.7515)
C (0.3502, 0.5034, 0.8357)
C (0.3593, 0.3202, 0.3074)
C (0.3639, 0.8558, 0.4875)
C (0.4004, 0.1733, 0.6456)
C (0.4044, 0.5471, 0.1764)
C (0.4046, 0.6324, 0.7999)
C (0.4065, 0.7991, 0.2621)
C (0.4237, 0.2075, 0.4007)
C (0.4289, 0.8231, 0.6076)
C (0.4437, 0.3989, 0.2081)
C (0.4475, 0.8576, 0.3629)
C (0.4668, 0.2684, 0.8082)
C (0.4682, 0.3922, 0.8507)
C (0.5318, 0.6078, 0.1493)
C (0.5332, 0.7316, 0.1918)
C (0.5525, 0.1424, 0.6371)
C (0.5563, 0.6011, 0.7919)
C (0.5711, 0.1769, 0.3924)
C (0.5763, 0.7925, 0.5993)
C (0.5935, 0.2009, 0.7379)
C (0.5954, 0.3676, 0.2001)
C (0.5956, 0.4529, 0.8236)
C (0.5996, 0.8267, 0.3544)
C (0.6361, 0.1442, 0.5125)
C (0.6407, 0.6798, 0.6926)
C (0.6498, 0.4966, 0.1643)
C (0.6523, 0.7493, 0.2485)
C (0.6581, 0.2583, 0.2909)
C (0.6625, 0.7943, 0.4713)
C (0.7174, 0.2596, 0.7116)
C (0.7186, 0.3877, 0.7548)
C (0.7637, 0.2050, 0.4851)
C (0.7651, 0.5134, 0.2201)
C (0.7672, 0.6129, 0.6223)
C (0.7672, 0.6414, 0.2622)
C (0.7770, 0.2754, 0.3483)
C (0.7803, 0.6832, 0.4855)
C (0.8035, 0.2619, 0.5830)
C (0.8053, 0.4688, 0.6529)
C (0.8298, 0.4010, 0.3135)
C (0.8316, 0.6083, 0.3825)
C (0.8576, 0.3913, 0.5469)
C (0.8706, 0.4596, 0.4141)
N (0.0739, 0.0449, 0.7798)
N (0.0943, 0.7791, 0.0005)
N (0.1114, 0.0938, 0.3518)
N (0.1148, 0.3776, 0.0851)
N (0.1920, 0.0484, 0.0425)
N (0.4579, 0.9054, 0.9090)
N (0.5421, 0.0946, 0.0910)
N (0.8080, 0.9516, 0.9575)
N (0.8852, 0.6224, 0.9149)
N (0.8886, 0.9062, 0.6482)
N (0.9057, 0.2209, 0.9995)
N (0.9261, 0.9551, 0.2202)

For the uncorrected energy, the calculation gives -770.312 eV/cell.

---

Entry 2:
Entry from OQMD via LeMat-Bulk: an optimized crystal structure of Cu2Ag3 (PBE-GGA).

Cell lengths 9.9531, 9.9531, 3.9773 Å; angles 90.00, 90.00, 156.70 degrees
Positions (direct):
Cu (0.0000, 0.0000, 0.0000)
Cu (0.2022, 0.7978, 0.0000)
Cu (0.5000, 0.5000, 0.5000)
Cu (0.7978, 0.2022, 0.0000)
Ag (0.0960, 0.9040, 0.5000)
Ag (0.2992, 0.7008, 0.5000)
Ag (0.4045, 0.5955, 0.0000)
Ag (0.5955, 0.4045, 0.0000)
Ag (0.7008, 0.2992, 0.5000)
Ag (0.9040, 0.0960, 0.5000)

The energy above the lowest structure with this stoichiometry is 58.1 meV per atom. For the uncorrected energy, the calculation gives -30.910 eV/cell.

---

Entry 3:
Entry from OQMD via LeMat-Bulk: an optimized crystal structure of TmClO (PBE-GGA).

Cell lengths 3.8373, 3.8373, 6.5741 Å; angles 90.00, 90.00, 90.00 degrees
Positions (direct):
Tm (0.2500, 0.2500, 0.1661)
Tm (0.7500, 0.7500, 0.8339)
Cl (0.2500, 0.2500, 0.6264)
Cl (0.7500, 0.7500, 0.3736)
O (0.2500, 0.7500, 0.0000)
O (0.7500, 0.2500, 0.0000)

For the uncorrected energy, the calculation gives -41.002 eV/cell.

---

Entry 4:
Entry from OQMD via LeMat-Bulk: an optimized crystal structure of LuTcIr (PBE-GGA).

Cell lengths 6.2897, 6.2897, 6.2897 Å; angles 90.00, 90.00, 90.00 degrees
Positions (direct):
Lu (0.0000, 0.0000, 0.0000)
Lu (0.0000, 0.5000, 0.5000)
Lu (0.5000, 0.0000, 0.5000)
Lu (0.5000, 0.5000, 0.0000)
Tc (0.2500, 0.2500, 0.2500)
Tc (0.2500, 0.7500, 0.7500)
Tc (0.7500, 0.2500, 0.7500)
Tc (0.7500, 0.7500, 0.2500)
Ir (0.2500, 0.2500, 0.7500)
Ir (0.2500, 0.7500, 0.2500)
Ir (0.7500, 0.2500, 0.2500)
Ir (0.7500, 0.7500, 0.7500)

The energy above the lowest structure with this stoichiometry is 653.5 meV per atom. For the uncorrected energy, the calculation gives -85.320 eV/cell.

---

Entry 5:
Entry from OQMD via LeMat-Bulk: an optimized crystal structure of CdCu2IBr3 (PBE-GGA).

Cell lengths 8.2183, 8.3146, 6.1198 Å; angles 90.00, 92.06, 90.00 degrees
Positions (direct):
Cd (0.0000, 0.0000, 0.0000)
Cd (0.5000, 0.5000, 0.0000)
Cu (0.2484, 0.2463, 0.5071)
Cu (0.2484, 0.7537, 0.5071)
Cu (0.7484, 0.2537, 0.5071)
Cu (0.7484, 0.7463, 0.5071)
I (0.2255, 0.5000, 0.2604)
I (0.7255, 0.0000, 0.2604)
Br (0.0052, 0.2563, 0.7372)
Br (0.0052, 0.7437, 0.7372)
Br (0.2582, 0.0000, 0.2795)
Br (0.5052, 0.2437, 0.7372)
Br (0.5052, 0.7563, 0.7372)
Br (0.7582, 0.5000, 0.2795)

For the uncorrected energy, the calculation gives -36.233 eV/cell.

---

Entry 6:
Entry from OQMD via LeMat-Bulk: an optimized crystal structure of LiBeZnSi (PBE-GGA).

Cell lengths 5.8267, 5.8267, 5.8267 Å; angles 90.00, 90.00, 90.00 degrees
Positions (direct):
Li (0.0000, 0.0000, 0.0000)
Li (0.0000, 0.5000, 0.5000)
Li (0.5000, 0.0000, 0.5000)
Li (0.5000, 0.5000, 0.0000)
Be (0.0000, 0.0000, 0.5000)
Be (0.0000, 0.5000, 0.0000)
Be (0.5000, 0.0000, 0.0000)
Be (0.5000, 0.5000, 0.5000)
Zn (0.2500, 0.2500, 0.7500)
Zn (0.2500, 0.7500, 0.2500)
Zn (0.7500, 0.2500, 0.2500)
Zn (0.7500, 0.7500, 0.7500)
Si (0.2500, 0.2500, 0.2500)
Si (0.2500, 0.7500, 0.7500)
Si (0.7500, 0.2500, 0.7500)
Si (0.7500, 0.7500, 0.2500)

The energy above the lowest structure with this stoichiometry is 0.0 meV per atom. For the uncorrected energy, the calculation gives -47.724 eV/cell.

---

Entry 7:
Entry from OQMD via LeMat-Bulk: an optimized crystal structure of Sc2AgAu (PBE-GGA).

Cell lengths 4.7737, 4.7737, 3.4608 Å; angles 90.00, 90.00, 90.00 degrees
Positions (direct):
Sc (0.0000, 0.5000, 0.0000)
Sc (0.5000, 0.0000, 0.0000)
Ag (0.0000, 0.0000, 0.5000)
Au (0.5000, 0.5000, 0.5000)

The energy above the lowest structure with this stoichiometry is 4.0 meV per atom. For the uncorrected energy, the calculation gives -20.975 eV/cell.

---

Entry 8:
Entry from OQMD via LeMat-Bulk: an optimized crystal structure of K2P4H6PtO11 (PBE-GGA).

Cell lengths 13.0266, 13.0266, 7.8556 Å; angles 90.00, 90.00, 90.00 degrees
Positions (direct):
K (0.1141, 0.3859, 0.0000)
K (0.2211, 0.2789, 0.5000)
K (0.2789, 0.7789, 0.5000)
K (0.3859, 0.8859, 0.0000)
K (0.6141, 0.1141, 0.0000)
K (0.7211, 0.2211, 0.5000)
K (0.7789, 0.7211, 0.5000)
K (0.8859, 0.6141, 0.0000)
P (0.1185, 0.1329, 0.1916)
P (0.1185, 0.1329, 0.8084)
P (0.1329, 0.8815, 0.1916)
P (0.1329, 0.8815, 0.8084)
P (0.3671, 0.3815, 0.1916)
P (0.3671, 0.3815, 0.8084)
P (0.3815, 0.6329, 0.1916)
P (0.3815, 0.6329, 0.8084)
P (0.6185, 0.3671, 0.1916)
P (0.6185, 0.3671, 0.8084)
P (0.6329, 0.6185, 0.1916)
P (0.6329, 0.6185, 0.8084)
P (0.8671, 0.1185, 0.1916)
P (0.8671, 0.1185, 0.8084)
P (0.8815, 0.8671, 0.1916)
P (0.8815, 0.8671, 0.8084)
H (0.0278, 0.7652, 0.2870)
H (0.0278, 0.7652, 0.7130)
H (0.1320, 0.6320, 0.0976)
H (0.1320, 0.6320, 0.9024)
H (0.2348, 0.0278, 0.2870)
H (0.2348, 0.0278, 0.7130)
H (0.2652, 0.5278, 0.2870)
H (0.2652, 0.5278, 0.7130)
H (0.3680, 0.1320, 0.0976)
H (0.3680, 0.1320, 0.9024)
H (0.4722, 0.2652, 0.2870)
H (0.4722, 0.2652, 0.7130)
H (0.5278, 0.7348, 0.2870)
H (0.5278, 0.7348, 0.7130)
H (0.6320, 0.8680, 0.0976)
H (0.6320, 0.8680, 0.9024)
H (0.7348, 0.4722, 0.2870)
H (0.7348, 0.4722, 0.7130)
H (0.7652, 0.9722, 0.2870)
H (0.7652, 0.9722, 0.7130)
H (0.8680, 0.3680, 0.0976)
H (0.8680, 0.3680, 0.9024)
H (0.9722, 0.2348, 0.2870)
H (0.9722, 0.2348, 0.7130)
Pt (0.0000, 0.0000, 0.1863)
Pt (0.0000, 0.0000, 0.8137)
Pt (0.5000, 0.5000, 0.1863)
Pt (0.5000, 0.5000, 0.8137)
O (0.0821, 0.2384, 0.2542)
O (0.0821, 0.2384, 0.7458)
O (0.0989, 0.5989, 0.0000)
O (0.1074, 0.7788, 0.2923)
O (0.1074, 0.7788, 0.7077)
O (0.1538, 0.8345, 0.0000)
O (0.1655, 0.1538, 0.0000)
O (0.2212, 0.1074, 0.2923)
O (0.2212, 0.1074, 0.7077)
O (0.2384, 0.9179, 0.2542)
O (0.2384, 0.9179, 0.7458)
O (0.2616, 0.4179, 0.2542)
O (0.2616, 0.4179, 0.7458)
O (0.2788, 0.6074, 0.2923)
O (0.2788, 0.6074, 0.7077)
O (0.3345, 0.6538, 0.0000)
O (0.3462, 0.3345, 0.0000)
O (0.3926, 0.2788, 0.2923)
O (0.3926, 0.2788, 0.7077)
O (0.4011, 0.0989, 0.0000)
O (0.4179, 0.7384, 0.2542)
O (0.4179, 0.7384, 0.7458)
O (0.5821, 0.2616, 0.2542)
O (0.5821, 0.2616, 0.7458)
O (0.5989, 0.9011, 0.0000)
O (0.6074, 0.7212, 0.2923)
O (0.6074, 0.7212, 0.7077)
O (0.6538, 0.6655, 0.0000)
O (0.6655, 0.3462, 0.0000)
O (0.7212, 0.3926, 0.2923)
O (0.7212, 0.3926, 0.7077)
O (0.7384, 0.5821, 0.2542)
O (0.7384, 0.5821, 0.7458)
O (0.7616, 0.0821, 0.2542)
O (0.7616, 0.0821, 0.7458)
O (0.7788, 0.8926, 0.2923)
O (0.7788, 0.8926, 0.7077)
O (0.8345, 0.8462, 0.0000)
O (0.8462, 0.1655, 0.0000)
O (0.8926, 0.2212, 0.2923)
O (0.8926, 0.2212, 0.7077)
O (0.9011, 0.4011, 0.0000)
O (0.9179, 0.7616, 0.2542)
O (0.9179, 0.7616, 0.7458)

For the uncorrected energy, the calculation gives -572.959 eV/cell.